A plane-wave DFT calculation with PBE was carried out for an optimized crystal structure of LiNd2I6.

Properties
- crystal system = monoclinic
- distance to the lowest polymorph of the same formula (meV/atom) = 0.0

abc: 10.470 10.470 9.610
angles: 107.10 107.10 23.37
Fractional positions:
Li 0.000 0.000 0.000
Nd 0.339 0.339 0.682
Nd 0.661 0.661 0.318
I 0.164 0.164 0.079
I 0.172 0.172 0.577
I 0.495 0.495 0.778
I 0.505 0.505 0.222
I 0.828 0.828 0.423
I 0.836 0.836 0.921

***

A plane-wave DFT calculation with PBE was carried out for an optimized crystal structure of Li2NdI6.

Properties
- crystal system = monoclinic
- distance to the lowest polymorph of the same formula (meV/atom) = 42.8

abc: 7.750 7.750 11.534
angles: 105.54 105.54 35.01
Fractional positions:
Li 0.202 0.202 0.183
Li 0.798 0.798 0.817
Nd 0.000 0.000 0.500
I 0.034 0.034 0.251
I 0.331 0.331 0.947
I 0.348 0.348 0.415
I 0.652 0.652 0.585
I 0.669 0.669 0.053
I 0.966 0.966 0.749

***

A plane-wave DFT calculation with PBE was carried out for an optimized crystal structure of LiNd2I6.

Properties
- crystal system = monoclinic
- distance to the lowest polymorph of the same formula (meV/atom) = 135.2

abc: 8.662 8.662 9.013
angles: 94.07 94.07 42.48
Fractional positions:
Li 0.000 0.000 0.000
Nd 0.236 0.236 0.654
Nd 0.764 0.764 0.346
I 0.055 0.055 0.725
I 0.270 0.270 0.317
I 0.381 0.381 0.881
I 0.619 0.619 0.119
I 0.730 0.730 0.683
I 0.945 0.945 0.275

***

A plane-wave DFT calculation with PBE was carried out for an optimized crystal structure of Li2NdI6.

Properties
- crystal system = monoclinic
- distance to the lowest polymorph of the same formula (meV/atom) = 0.0

abc: 10.143 10.143 7.904
angles: 103.42 103.42 94.73
Fractional positions:
Li 0.041 0.224 0.224
Li 0.224 0.041 0.724
Li 0.776 0.959 0.276
Li 0.959 0.776 0.776
Nd 0.408 0.592 0.750
Nd 0.592 0.408 0.250
I 0.012 0.170 0.549
I 0.122 0.565 0.809
I 0.170 0.012 0.049
I 0.298 0.438 0.338
I 0.435 0.878 0.691
I 0.438 0.298 0.838
I 0.562 0.702 0.162
I 0.565 0.122 0.309
I 0.702 0.562 0.662
I 0.830 0.988 0.951
I 0.878 0.435 0.191
I 0.988 0.830 0.451

***

A plane-wave DFT calculation with PBE was carried out for an optimized crystal structure of LiNdI4.

Properties
- crystal system = monoclinic
- distance to the lowest polymorph of the same formula (meV/atom) = 0.0

abc: 8.924 8.924 7.642
angles: 114.57 114.57 29.07
Fractional positions:
Li 0.000 0.000 0.000
Nd 0.500 0.500 0.500
I 0.118 0.118 0.451
I 0.394 0.394 0.056
I 0.606 0.606 0.944
I 0.882 0.882 0.549

***

A plane-wave DFT calculation with PBE was carried out for an optimized crystal structure of LiNdI4.

Properties
- crystal system = monoclinic
- distance to the lowest polymorph of the same formula (meV/atom) = 24.8

abc: 10.533 10.533 7.689
angles: 103.93 103.93 130.35
Fractional positions:
Li 0.083 0.917 0.750
Li 0.917 0.083 0.250
Nd 0.423 0.577 0.250
Nd 0.577 0.423 0.750
I 0.060 0.416 0.247
I 0.200 0.296 0.754
I 0.296 0.200 0.254
I 0.416 0.060 0.747
I 0.584 0.940 0.253
I 0.704 0.800 0.746
I 0.800 0.704 0.246
I 0.940 0.584 0.753

***

A plane-wave DFT calculation with PBE was carried out for an optimized crystal structure of LiNd2IO6.

Properties
- crystal system = triclinic

abc: 5.854 5.854 5.855
angles: 60.67 60.67 60.63
Fractional positions:
Li 0.000 0.000 0.000
Nd 0.213 0.212 0.214
Nd 0.725 0.725 0.726
I 0.497 0.496 0.497
O 0.125 0.363 0.793
O 0.301 0.830 0.621
O 0.364 0.791 0.126
O 0.620 0.300 0.831
O 0.792 0.124 0.365
O 0.830 0.620 0.302

***

A plane-wave DFT calculation with PBE was carried out for an optimized crystal structure of RbLiNd2I8.

Properties
- crystal system = trigonal

abc: 8.002 8.002 9.479
angles: 90.00 90.00 120.00
Fractional positions:
Rb 0.000 0.000 0.000
Li 0.000 0.000 0.500
Nd 0.333 0.667 0.405
Nd 0.667 0.333 0.595
I 0.068 0.356 0.658
I 0.288 0.932 0.658
I 0.333 0.667 0.084
I 0.356 0.288 0.342
I 0.644 0.712 0.658
I 0.667 0.333 0.916
I 0.712 0.068 0.342
I 0.932 0.644 0.342

***

no.,raw formation energy (eV per atom),uncorrected energy (eV/atom)
1,-1.30,-3.609
2,-1.03,-3.015
3,-1.17,-3.474
4,-1.07,-3.058
5,-1.32,-3.471
6,-1.30,-3.447
7,-2.06,-6.337
8,-1.34,-3.410